! Pr6Ga2Au, relaxed, DFT PBE; values from VASP
&SYSTEM
  ibrav = 0, nat = 18, ntyp = 3
/
ATOMIC_SPECIES
Pr 140.91 Pr.upf
Ga 69.72 Ga.upf
Au 196.97 Au.upf
CELL_PARAMETERS angstrom
-5.006 5.086 5.291
5.006 -5.086 5.291
5.006 5.086 -5.291
ATOMIC_POSITIONS crystal
Pr 0.036 0.828 0.208
Pr 0.256 0.562 0.306
Pr 0.256 0.949 0.694
Pr 0.267 0.326 0.593
Pr 0.267 0.674 0.941
Pr 0.381 0.172 0.208
Pr 0.619 0.828 0.792
Pr 0.733 0.326 0.059
Pr 0.733 0.674 0.407
Pr 0.744 0.051 0.306
Pr 0.744 0.438 0.694
Pr 0.964 0.172 0.792
Ga 0.000 0.140 0.140
Ga 0.000 0.860 0.860
Ga 0.378 0.378 0.000
Ga 0.622 0.622 0.000
Au 0.000 0.500 0.500
Au 0.500 0.000 0.500
! - DFT total energy (eV per atom) = -4.621
! - SG = Immm (71)

=====

! Pr4Ga12Au, relaxed, DFT PBE; values from VASP
&SYSTEM
  ibrav = 0, nat = 17, ntyp = 3
/
ATOMIC_SPECIES
Pr 140.91 Pr.upf
Ga 69.72 Ga.upf
Au 196.97 Au.upf
CELL_PARAMETERS angstrom
-4.448 4.448 4.448
4.448 -4.448 4.448
4.448 4.448 -4.448
ATOMIC_POSITIONS crystal
Pr 0.000 0.000 0.500
Pr 0.000 0.500 0.000
Pr 0.500 0.000 0.000
Pr 0.500 0.500 0.500
Ga 0.000 0.305 0.305
Ga 0.000 0.695 0.695
Ga 0.250 0.500 0.750
Ga 0.250 0.750 0.500
Ga 0.305 0.000 0.305
Ga 0.305 0.305 0.000
Ga 0.500 0.250 0.750
Ga 0.500 0.750 0.250
Ga 0.695 0.000 0.695
Ga 0.695 0.695 0.000
Ga 0.750 0.250 0.500
Ga 0.750 0.500 0.250
Au 0.000 0.000 0.000
! - DFT total energy (eV per atom) = -4.019
! - SG = Im-3m (229)

=====

! Pr2Ga5Au, relaxed, DFT PBE; values from VASP
&SYSTEM
  ibrav = 0, nat = 8, ntyp = 3
/
ATOMIC_SPECIES
Pr 140.91 Pr.upf
Ga 69.72 Ga.upf
Au 196.97 Au.upf
CELL_PARAMETERS angstrom
-3.108 3.108 4.535
3.108 -3.108 4.535
3.108 3.108 -4.535
ATOMIC_POSITIONS crystal
Pr 0.000 0.500 0.500
Pr 0.500 0.000 0.500
Ga 0.493 0.493 0.000
Ga 0.532 0.532 0.565
Ga 0.532 0.967 0.000
Ga 0.967 0.532 0.000
Ga 0.967 0.967 0.435
Au 0.141 0.141 0.000
! - DFT total energy (eV per atom) = -4.021
! - SG = I4mm (107)

=====

! Pr8Ga2Au, relaxed, DFT PBE; values from VASP
&SYSTEM
  ibrav = 0, nat = 11, ntyp = 3
/
ATOMIC_SPECIES
Pr 140.91 Pr.upf
Ga 69.72 Ga.upf
Au 196.97 Au.upf
CELL_PARAMETERS angstrom
9.643 -2.580 0.000
9.643 2.580 0.000
-1.609 0.000 6.793
ATOMIC_POSITIONS crystal
Pr 0.023 0.023 0.272
Pr 0.208 0.208 0.816
Pr 0.341 0.341 0.523
Pr 0.406 0.406 0.033
Pr 0.594 0.594 0.967
Pr 0.659 0.659 0.477
Pr 0.792 0.792 0.184
Pr 0.977 0.977 0.728
Ga 0.186 0.186 0.248
Ga 0.814 0.814 0.752
Au 0.500 0.500 0.500
! - DFT total energy (eV per atom) = -4.646
! - SG = C2/m (12)

=====

! PrGa4Au12, relaxed, DFT PBE; values from VASP
&SYSTEM
  ibrav = 0, nat = 17, ntyp = 3
/
ATOMIC_SPECIES
Pr 140.91 Pr.upf
Ga 69.72 Ga.upf
Au 196.97 Au.upf
CELL_PARAMETERS angstrom
-4.504 4.504 4.504
4.504 -4.504 4.504
4.504 4.504 -4.504
ATOMIC_POSITIONS crystal
Pr 0.000 0.000 0.000
Ga 0.000 0.000 0.500
Ga 0.000 0.500 0.000
Ga 0.500 0.000 0.000
Ga 0.500 0.500 0.500
Au 0.154 0.498 0.344
Au 0.154 0.811 0.656
Au 0.189 0.344 0.846
Au 0.344 0.154 0.498
Au 0.344 0.846 0.189
Au 0.498 0.344 0.154
Au 0.502 0.656 0.846
Au 0.656 0.154 0.811
Au 0.656 0.846 0.502
Au 0.811 0.656 0.154
Au 0.846 0.189 0.344
Au 0.846 0.502 0.656
! - DFT total energy (eV per atom) = -3.405
! - SG = Im-3 (204)

=====

! Pr3Ga2Au9, relaxed, DFT PBE; values from VASP
&SYSTEM
  ibrav = 0, nat = 14, ntyp = 3
/
ATOMIC_SPECIES
Pr 140.91 Pr.upf
Ga 69.72 Ga.upf
Au 196.97 Au.upf
CELL_PARAMETERS angstrom
-2.188 5.330 6.522
2.188 -5.330 6.522
2.188 5.330 -6.522
ATOMIC_POSITIONS crystal
Pr 0.000 0.000 0.000
Pr 0.302 0.302 0.000
Pr 0.698 0.698 0.000
Ga 0.303 0.500 0.803
Ga 0.697 0.500 0.197
Au 0.025 0.653 0.372
Au 0.158 0.868 0.290
Au 0.281 0.653 0.628
Au 0.422 0.132 0.290
Au 0.500 0.000 0.500
Au 0.578 0.868 0.710
Au 0.719 0.347 0.372
Au 0.842 0.132 0.710
Au 0.975 0.347 0.628
! - DFT total energy (eV per atom) = -4.139
! - SG = Immm (71)

=====

! PrGa4Au8, relaxed, DFT PBE; values from VASP
&SYSTEM
  ibrav = 0, nat = 13, ntyp = 3
/
ATOMIC_SPECIES
Pr 140.91 Pr.upf
Ga 69.72 Ga.upf
Au 196.97 Au.upf
CELL_PARAMETERS angstrom
-4.714 4.714 2.730
4.714 -4.714 2.730
4.714 4.714 -2.730
ATOMIC_POSITIONS crystal
Pr 0.000 0.000 0.000
Ga 0.000 0.000 0.500
Ga 0.000 0.500 0.000
Ga 0.500 0.000 0.000
Ga 0.500 0.500 0.500
Au 0.000 0.339 0.339
Au 0.000 0.661 0.661
Au 0.284 0.500 0.784
Au 0.339 0.000 0.339
Au 0.500 0.284 0.784
Au 0.500 0.716 0.216
Au 0.661 0.000 0.661
Au 0.716 0.500 0.216
! - DFT total energy (eV per atom) = -3.620
! - SG = I4/mmm (139)

=====

! Pr2Ga5Au3, relaxed, DFT PBE; values from VASP
&SYSTEM
  ibrav = 0, nat = 10, ntyp = 3
/
ATOMIC_SPECIES
Pr 140.91 Pr.upf
Ga 69.72 Ga.upf
Au 196.97 Au.upf
CELL_PARAMETERS angstrom
4.356 0.000 0.000
0.000 4.356 0.000
0.000 0.000 10.965
ATOMIC_POSITIONS crystal
Pr 0.000 0.500 0.247
Pr 0.500 0.000 0.753
Ga 0.000 0.000 0.500
Ga 0.000 0.500 0.863
Ga 0.500 0.000 0.137
Ga 0.500 0.500 0.000
Ga 0.500 0.500 0.500
Au 0.000 0.000 0.000
Au 0.000 0.500 0.633
Au 0.500 0.000 0.367
! - DFT total energy (eV per atom) = -4.094
! - SG = P-4m2 (115)

=====

! PrGa2Au4, relaxed, DFT PBE; values from VASP
&SYSTEM
  ibrav = 0, nat = 28, ntyp = 3
/
ATOMIC_SPECIES
Pr 140.91 Pr.upf
Ga 69.72 Ga.upf
Au 196.97 Au.upf
CELL_PARAMETERS angstrom
17.851 0.000 0.000
0.000 4.591 0.000
0.000 0.000 6.869
ATOMIC_POSITIONS crystal
Pr 0.135 0.250 0.007
Pr 0.365 0.750 0.507
Pr 0.635 0.250 0.493
Pr 0.865 0.750 0.993
Ga 0.037 0.750 0.232
Ga 0.224 0.250 0.529
Ga 0.276 0.750 0.029
Ga 0.463 0.250 0.732
Ga 0.537 0.750 0.268
Ga 0.724 0.250 0.971
Ga 0.776 0.750 0.471
Ga 0.963 0.250 0.768
Au 0.035 0.750 0.795
Au 0.078 0.250 0.516
Au 0.178 0.750 0.315
Au 0.194 0.750 0.725
Au 0.306 0.250 0.225
Au 0.322 0.250 0.815
Au 0.422 0.750 0.016
Au 0.465 0.250 0.295
Au 0.535 0.750 0.705
Au 0.578 0.250 0.984
Au 0.678 0.750 0.185
Au 0.694 0.750 0.775
Au 0.806 0.250 0.275
Au 0.822 0.250 0.685
Au 0.922 0.750 0.484
Au 0.965 0.250 0.205
! - DFT total energy (eV per atom) = -3.920
! - SG = Pnma (62)

=====

! Pr4Ga2Au, relaxed, DFT PBE; values from VASP
&SYSTEM
  ibrav = 0, nat = 7, ntyp = 3
/
ATOMIC_SPECIES
Pr 140.91 Pr.upf
Ga 69.72 Ga.upf
Au 196.97 Au.upf
CELL_PARAMETERS angstrom
2.546 1.470 9.331
-2.546 1.470 9.331
0.000 -2.939 9.331
ATOMIC_POSITIONS crystal
Pr 0.122 0.122 0.122
Pr 0.297 0.297 0.297
Pr 0.703 0.703 0.703
Pr 0.878 0.878 0.878
Ga 0.407 0.407 0.407
Ga 0.593 0.593 0.593
Au 0.500 0.500 0.500
! - DFT total energy (eV per atom) = -4.458
! - SG = R-3m (166)

=====

! PrGa2Au3, relaxed, DFT PBE; values from VASP
&SYSTEM
  ibrav = 0, nat = 18, ntyp = 3
/
ATOMIC_SPECIES
Pr 140.91 Pr.upf
Ga 69.72 Ga.upf
Au 196.97 Au.upf
CELL_PARAMETERS angstrom
8.590 -2.156 0.000
8.590 2.156 0.000
-3.173 0.000 10.016
ATOMIC_POSITIONS crystal
Pr 0.000 0.000 0.000
Pr 0.153 0.153 0.693
Pr 0.847 0.847 0.307
Ga 0.203 0.203 0.118
Ga 0.359 0.359 0.549
Ga 0.472 0.472 0.228
Ga 0.528 0.528 0.772
Ga 0.641 0.641 0.451
Ga 0.797 0.797 0.882
Au 0.045 0.045 0.341
Au 0.220 0.220 0.375
Au 0.334 0.334 0.050
Au 0.380 0.380 0.815
Au 0.500 0.500 0.500
Au 0.620 0.620 0.185
Au 0.666 0.666 0.950
Au 0.780 0.780 0.625
Au 0.955 0.955 0.659
! - DFT total energy (eV per atom) = -4.006
! - SG = C2/m (12)

=====

! Pr2Ga7Au12, relaxed, DFT PBE; values from VASP
&SYSTEM
  ibrav = 0, nat = 21, ntyp = 3
/
ATOMIC_SPECIES
Pr 140.91 Pr.upf
Ga 69.72 Ga.upf
Au 196.97 Au.upf
CELL_PARAMETERS angstrom
10.525 0.000 0.000
-5.263 9.115 0.000
0.000 0.000 4.289
ATOMIC_POSITIONS crystal
Pr 0.333 0.667 0.259
Pr 0.667 0.333 0.741
Ga 0.000 0.000 0.000
Ga 0.108 0.707 0.773
Ga 0.293 0.401 0.773
Ga 0.401 0.108 0.227
Ga 0.599 0.892 0.773
Ga 0.707 0.599 0.227
Ga 0.892 0.293 0.227
Au 0.073 0.448 0.742
Au 0.126 0.260 0.279
Au 0.133 0.874 0.279
Au 0.260 0.133 0.721
Au 0.376 0.927 0.742
Au 0.448 0.376 0.258
Au 0.552 0.624 0.742
Au 0.624 0.073 0.258
Au 0.740 0.867 0.279
Au 0.867 0.126 0.721
Au 0.874 0.740 0.721
Au 0.927 0.552 0.258
! - DFT total energy (eV per atom) = -3.730
! - SG = P-3 (147)

=====

Number 1: spin magnetization 0.0 Bohr magnetons per cell. Number 2: spin magnetization 0.0 Bohr magnetons per cell. Number 3: spin magnetization 0.0 Bohr magnetons per cell. Number 4: spin magnetization 0.0 Bohr magnetons per cell. Number 5: spin magnetization 0.0 Bohr magnetons per cell. Number 6: spin magnetization 0.0 Bohr magnetons per cell. Number 7: spin magnetization 0.0 Bohr magnetons per cell. Number 8: spin magnetization 0.0 Bohr magnetons per cell. Number 9: spin magnetization 0.0 Bohr magnetons per cell. Number 10: spin magnetization 0.0 Bohr magnetons per cell. Number 11: spin magnetization 0.0 Bohr magnetons per cell. Number 12: spin magnetization 0.0 Bohr magnetons per cell.